(1)
The following is a meta-GGA SCAN calculation of a crystal of Cu2PtAu relaxed with PBEsol, from Alexandria.

Unit cell a=4.507 b=4.507 c=4.732 alpha=100.84 beta=100.84 gamma=36.24
Fractional positions:
Cu 0.248 0.248 0.240
Cu 0.752 0.752 0.760
Pt 0.500 0.500 0.000
Au 0.000 0.000 0.500

Computed properties:
**Space group**: No. 12
**Magnetic moment**: 0.000 μB per atom
**DOS at the Fermi energy**: 0.375 states/eV/atom
**Calculated formation energy**: -71 meV per atom



(2)
The following is a meta-GGA SCAN calculation of a crystal of CuPt2Au relaxed with PBEsol, from Alexandria.

Unit cell a=4.721 b=4.721 c=4.721 alpha=130.86 beta=130.86 gamma=72.03
Fractional positions:
Cu 0.000 0.000 0.000
Pt 0.500 0.500 0.000
Pt 0.750 0.250 0.500
Au 0.250 0.750 0.500

Computed properties:
**Space group**: No. 119
**Magnetic moment**: 0.046 μB per atom
**DOS at the Fermi energy**: 1.161 states/eV/atom
**E above lowest polymorph**: 0.081 eV per atom
**Calculated formation energy**: 9 meV per atom



(3)
The following is a meta-GGA SCAN calculation of a crystal of CuPtAu relaxed with PBEsol, from Alexandria.

Unit cell a=4.911 b=4.911 c=4.911 alpha=147.27 beta=136.62 gamma=55.39
Fractional positions:
Cu 0.000 0.000 0.000
Pt 0.652 0.652 0.000
Au 0.335 0.335 0.000

Computed properties:
**Space group**: No. 44
**Magnetic moment**: 0.000 μB per atom
**DOS at the Fermi energy**: 0.372 states/eV/atom
**E above lowest polymorph**: 0.045 eV per atom
**Calculated formation energy**: -33 meV per atom